1.
A geometry-optimized K2Tb2AuO6 structure, computed with GGA-PBE.

Cell lengths 5.9264, 5.9264, 6.6124 Å; angles 97.39, 97.39, 120.51 degrees
Atoms (fractional coordinates):
K (0.1587, 0.8413, 0.0000)
K (0.8413, 0.1587, 0.0000)
Tb (0.3338, 0.6662, 0.5000)
Tb (0.6662, 0.3338, 0.5000)
Au (0.0000, 0.0000, 0.5000)
O (0.0485, 0.3850, 0.6833)
O (0.2500, 0.2500, 0.3305)
O (0.3850, 0.0485, 0.6833)
O (0.6150, 0.9515, 0.3167)
O (0.7500, 0.7500, 0.6695)
O (0.9515, 0.6150, 0.3167)

Summary:
Space-group type: No. 12

2.
A geometry-optimized KTb2Au2O6 structure, computed with GGA-PBE.

Cell lengths 4.7497, 6.1272, 7.0805 Å; angles 100.85, 105.84, 103.08 degrees
Atoms (fractional coordinates):
K (0.0000, 0.0000, 0.0000)
Tb (0.2241, 0.7850, 0.5471)
Tb (0.7759, 0.2150, 0.4529)
Au (0.3913, 0.3409, 0.8223)
Au (0.6087, 0.6591, 0.1777)
O (0.0919, 0.5213, 0.7123)
O (0.2845, 0.1440, 0.4805)
O (0.4749, 0.0245, 0.8967)
O (0.5251, 0.9755, 0.1033)
O (0.7155, 0.8560, 0.5195)
O (0.9081, 0.4787, 0.2877)

Summary:
Space-group type: No. 2

3.
A geometry-optimized KTbAuO2 structure, computed with GGA-PBE.

Cell lengths 6.6789, 5.4560, 6.5345 Å; angles 90.00, 95.25, 90.00 degrees
Atoms (fractional coordinates):
K (0.0000, 0.2047, 0.2500)
K (0.0000, 0.7953, 0.7500)
Tb (0.5000, 0.0197, 0.7500)
Tb (0.5000, 0.9803, 0.2500)
Au (0.5000, 0.5000, 0.0000)
Au (0.5000, 0.5000, 0.5000)
O (0.2938, 0.1126, 0.9893)
O (0.2938, 0.8874, 0.4893)
O (0.7062, 0.1126, 0.5107)
O (0.7062, 0.8874, 0.0107)

Summary:
Space-group type: No. 13

4.
A geometry-optimized KTb2AuO5 structure, computed with GGA-PBE.

Cell lengths 7.7452, 7.7452, 7.7452 Å; angles 129.43, 129.43, 74.32 degrees
Atoms (fractional coordinates):
K (0.2500, 0.2500, 0.0000)
K (0.7500, 0.7500, 0.0000)
Tb (0.1732, 0.6732, 0.8463)
Tb (0.3268, 0.1732, 0.5000)
Tb (0.6732, 0.8268, 0.5000)
Tb (0.8268, 0.3268, 0.1537)
Au (0.2500, 0.7500, 0.5000)
Au (0.7500, 0.2500, 0.5000)
O (0.0000, 0.0000, 0.0000)
O (0.0234, 0.2527, 0.5000)
O (0.2473, 0.4766, 0.5000)
O (0.2527, 0.7527, 0.2294)
O (0.4766, 0.9766, 0.2294)
O (0.5000, 0.5000, 0.0000)
O (0.5234, 0.0234, 0.7706)
O (0.7473, 0.2473, 0.7706)
O (0.7527, 0.5234, 0.5000)
O (0.9766, 0.7473, 0.5000)

Summary:
Space-group type: No. 140

5.
A geometry-optimized KTc2AuO structure, computed with GGA-PBE.

Cell lengths 5.0744, 5.0744, 6.5180 Å; angles 90.00, 90.00, 90.00 degrees
Atoms (fractional coordinates):
K (0.0000, 0.0000, 0.0000)
Tc (0.0000, 0.5000, 0.5000)
Tc (0.5000, 0.0000, 0.5000)
Au (0.0000, 0.0000, 0.5000)
O (0.5000, 0.5000, 0.0000)

Summary:
Space-group type: No. 123

6.
A geometry-optimized K6TeAu2O structure, computed with GGA-PBE.

Cell lengths 7.9409, 8.4375, 13.7161 Å; angles 90.00, 124.32, 90.00 degrees
Atoms (fractional coordinates):
K (0.0946, 0.0545, 0.2164)
K (0.0946, 0.4455, 0.7164)
K (0.2276, 0.7296, 0.0708)
K (0.2276, 0.7704, 0.5708)
K (0.3256, 0.1654, 0.0527)
K (0.3256, 0.3346, 0.5527)
K (0.6744, 0.6654, 0.4473)
K (0.6744, 0.8346, 0.9473)
K (0.7724, 0.2296, 0.4292)
K (0.7724, 0.2705, 0.9292)
K (0.9054, 0.5545, 0.2836)
K (0.9054, 0.9455, 0.7836)
Te (0.5000, 0.0000, 0.5000)
Te (0.5000, 0.5000, 0.0000)
Au (0.2803, 0.0726, 0.7550)
Au (0.2803, 0.4274, 0.2550)
Au (0.7197, 0.5726, 0.7450)
Au (0.7197, 0.9274, 0.2450)
O (0.0000, 0.0000, 0.0000)
O (0.0000, 0.5000, 0.5000)

Summary:
Space-group type: No. 14

What are the energy relative to the elements, uncorrected values for these records? In order: -1.944, -1.580, -1.679, -2.048, 1.777, -0.698 eV per atom.
What are the final energy values for these records? In order: -5.9883, -5.8220, -5.4629, -6.3177, -4.2357, -2.8221 eV/atom.